The following is a DFT calculation (PBE-GGA) of an optimized crystal structure of TlCuRe.

The structure in extended XYZ format:
```
3
Lattice="-0.041 -2.020 -7.016 0.711 -4.345 -5.595 -2.736 -0.178 -0.689" Properties=species:S:1:pos:R:3 pbc="T T T"
Cu 0.632 -6.296 -12.478
Re -1.554 -2.324 -4.825
Tl -0.473 -4.289 -8.609
```

Computed properties:
Crystal system = orthorhombic
Energy relative to the lowest polymorph listed for this composition = 58.5 meV per atom
E_form = 846 meV per atom

***

The following is a DFT calculation (PBE-GGA) of an optimized crystal structure of Nd5Ge2.

The structure in extended XYZ format:
```
14
Lattice="6.593 0.000 0.000 0.000 8.039 0.074 -3.296 -1.148 8.028" Properties=species:S:1:pos:R:3 pbc="T T T"
Nd -2.521 -0.343 6.533
Nd 0.696 0.929 4.481
Nd 5.817 7.234 1.569
Nd 2.600 5.961 3.621
Nd 4.018 2.010 0.018
Nd 2.521 3.676 6.570
Nd 3.993 1.942 3.584
Nd 0.776 3.215 1.533
Nd -0.696 4.949 4.518
Nd 2.575 6.029 0.055
Ge 1.247 6.465 6.396
Ge 4.543 4.445 1.743
Ge -1.247 2.446 6.359
Ge 2.050 0.425 1.706
```

Computed properties:
Crystal system = monoclinic
E_form = -504 meV per atom

***

The following is a DFT calculation (PBE-GGA) of an optimized crystal structure of CsLiEr2Se4.

The structure in extended XYZ format:
```
16
Lattice="-0.166 0.755 4.146 -3.894 -6.295 -1.154 12.222 -7.914 1.931" Properties=species:S:1:pos:R:3 pbc="T T T"
Er 4.216 -4.684 3.167
Er 3.946 -8.770 1.756
Er 8.567 -11.762 2.486
Er -0.404 -1.692 2.437
Se 0.000 0.000 0.000
Se 8.974 -9.583 4.250
Se 2.805 -6.213 1.244
Se 6.111 -3.957 0.966
Se 2.294 -2.610 2.712
Se 5.357 -7.241 3.678
Se -0.812 -3.871 0.673
Se 5.868 -10.844 2.210
Cs -0.157 -6.257 3.278
Cs 8.319 -7.197 1.644
Li 1.669 -4.041 0.803
Li 6.493 -9.412 4.119
```

Computed properties:
Crystal system = orthorhombic
Formation energy from raw total energies = -1680 meV per atom

***

The following is a DFT calculation (PBE-GGA) of an optimized crystal structure of Lu2FeNi.

The structure in extended XYZ format:
```
4
Lattice="-3.194 3.340 0.155 -1.818 1.274 4.056 1.051 4.122 1.812" Properties=species:S:1:pos:R:3 pbc="T T T"
Lu -0.990 2.184 1.506
Lu -2.970 6.551 4.517
Ni -1.980 4.368 3.011
Fe 0.000 0.000 0.000
```

Computed properties:
Crystal system = cubic
Energy relative to the lowest polymorph listed for this composition = 33.8 meV per atom
E_form = -192 meV per atom

***

The following is a DFT calculation (PBE-GGA) of an optimized crystal structure of Cs2ZrPI6.

The structure in extended XYZ format:
```
10
Lattice="9.215 0.000 0.000 0.000 9.215 0.000 4.608 4.608 5.571" Properties=species:S:1:pos:R:3 pbc="T T T"
Zr 0.000 0.000 0.000
P 4.608 4.608 0.000
I 4.608 4.608 2.681
I 2.060 2.060 0.000
I 7.155 2.060 0.000
I 7.155 7.155 0.000
I 2.060 7.155 0.000
I 9.215 9.215 2.890
Cs 9.215 4.608 2.786
Cs 4.608 9.215 2.786
```

Computed properties:
Crystal system = tetragonal
Formation energy from raw total energies = -742 meV per atom

***

The following is a DFT calculation (PBE-GGA) of an optimized crystal structure of K2CoPt.

The structure in extended XYZ format:
```
4
Lattice="-4.880 6.216 7.698 -5.305 3.569 8.991 -2.754 5.042 9.419" Properties=species:S:1:pos:R:3 pbc="T T T"
Pt -3.235 3.707 6.527
K -12.918 14.803 26.066
K -6.490 7.438 13.097
Co -9.704 11.121 19.581
```

Computed properties:
Crystal system = trigonal
Energy relative to the lowest polymorph listed for this composition = 591.9 meV per atom
E_form = 774 meV per atom

***

The following is a DFT calculation (PBE-GGA) of an optimized crystal structure of SrCu2Pt.

The structure in extended XYZ format:
```
4
Lattice="4.237 0.000 0.000 0.000 4.233 0.000 0.000 0.000 4.079" Properties=species:S:1:pos:R:3 pbc="T T T"
Sr 0.000 2.117 2.039
Pt 2.118 0.000 2.039
Cu 0.000 0.000 0.000
Cu 2.118 2.117 0.000
```

Computed properties:
Crystal system = tetragonal
Energy relative to the lowest polymorph listed for this composition = 354.6 meV per atom
E_form = -19 meV per atom

***

The following is a DFT calculation (PBE-GGA) of an optimized crystal structure of Ca2Sm4Pb3O2.

The structure in extended XYZ format:
```
11
Lattice="4.853 0.000 0.000 0.000 4.853 0.000 -2.426 -2.426 12.757" Properties=species:S:1:pos:R:3 pbc="T T T"
Sm 2.426 0.000 2.220
Sm 2.426 0.000 10.537
Sm 0.000 2.426 10.537
Sm 0.000 2.426 2.220
Pb 0.000 0.000 0.000
Pb 0.000 0.000 4.473
Pb 2.426 2.426 8.284
O 0.000 0.000 10.241
O 2.426 2.426 2.516
Ca 0.000 0.000 7.760
Ca 2.426 2.426 4.997
```

Computed properties:
Crystal system = tetragonal
Formation energy from raw total energies = -1386 meV per atom

***

Let's list mass density in order: 14.4; 6.8; 5.9; 11.0; 4.0; 6.6; 9.3; 7.4 g cm⁻³.